Compound: Tb2RuBr
Source: Alexandria
Functional: PBE
Structure: optimized geometry

Lattice parameters (Å, degrees): 3.4403 8.3720 3.4791 90.00 90.00 90.00
Last column: nearest neighbours and their distance in Å.
Space group Pmm2 (No. 25)
Asymmetric unit:
Tb: 0.0000 0.1990 0.0000  4 Ru 2.96, 2 Br 3.05
Ru: 0.5000 0.0000 0.5011  8 Tb 2.96
Br: 0.5000 0.5000 0.9578  4 Tb 3.05

Values from the calculation:
The value obtained for the density of states at the Fermi level is 0.45 states/eV per atom. The calculation puts the uncorrected formation energy at -0.809 eV per atom. As for the excess energy over the best structure of this formula in the dataset: 0.0000 eV/atom.



Compound: Tb2RuBr
Source: Alexandria
Functional: PBE
Structure: optimized geometry

Lattice parameters (Å, degrees): 3.4042 3.4042 8.1674 90.00 90.00 90.00
Last column: nearest neighbours and their distance in Å.
Space group P4/mmm (No. 123)
Asymmetric unit:
Tb: 0.0000 0.0000 0.2063  4 Ru 2.94
Ru: 0.5000 0.5000 0.0000  8 Tb 2.94
Br: 0.5000 0.5000 0.5000  8 Tb 3.40, 4 Br 3.40

Values from the calculation:
The value obtained for the density of states at the Fermi level is 0.47 states/eV per atom. The calculation puts the uncorrected formation energy at -0.772 eV per atom. As for the excess energy over the best structure of this formula in the dataset: 0.0363 eV/atom.



Compound: Tb3Ru2Br
Source: Alexandria
Functional: PBE
Structure: optimized geometry

Lattice parameters (Å, degrees): 3.4050 3.4050 11.5963 90.00 90.00 90.00
Last column: nearest neighbours and their distance in Å.
Space group P4/mmm (No. 123)
Asymmetric unit:
Tb: 0.0000 0.0000 0.0000  8 Ru 3.01
Tb: 0.0000 0.0000 0.2940  4 Ru 2.89
Ru: 0.5000 0.5000 0.1560  8 Tb 2.89-3.01
Br: 0.5000 0.5000 0.5000  8 Tb 3.39, 4 Br 3.41

Values from the calculation:
The value obtained for the density of states at the Fermi level is 0.31 states/eV per atom. The calculation puts the uncorrected formation energy at -0.650 eV per atom.



Compound: TbRuBr
Source: Alexandria
Functional: PBE
Structure: optimized geometry

Lattice parameters (Å, degrees): 6.4088 3.7046 13.5088 90.00 99.28 90.00
Last column: nearest neighbours and their distance in Å.
Space group C2/m (No. 12)
Asymmetric unit:
Tb: 0.2028 0.0000 0.1047  3 Br 2.96
Ru: 0.1539 0.5000 0.4623  3 Ru 2.36
Br: 0.0887 0.5000 0.2585  1 Ru 2.72, 3 Tb 2.96

Values from the calculation:
The value obtained for the density of states at the Fermi level is 0.75 states/eV per atom. The calculation puts the uncorrected formation energy at -0.148 eV per atom.